Run one
Nb2B2Os: PBEsol geometry, meta-GGA SCAN.

Results
Space-group type = P4/mnc (128)
Size of the total moment = 0.00 μB per formula unit

Unit cell a=5.8966 b=5.8966 c=6.8302 alpha=90.00 beta=90.00 gamma=90.00
Last column: nearest neighbours and their distance in Å.
Sites, in units of the cell vectors:
Nb 0.6643 0.8132 0.5000  6 B 2.41-2.48
Nb 0.3357 0.1868 0.5000  6 B 2.41-2.48
Nb 0.8357 0.3132 0.0000  6 B 2.41-2.48
Nb 0.1643 0.6868 0.0000  6 B 2.41-2.48
Nb 0.8132 0.3357 0.5000  6 B 2.41-2.48
Nb 0.1868 0.6643 0.5000  6 B 2.41-2.48
Nb 0.3132 0.1643 0.0000  6 B 2.41-2.48
Nb 0.6868 0.8357 0.0000  6 B 2.41-2.48
B 0.3858 0.8858 0.2500  1 B 1.90
B 0.6142 0.1142 0.2500  1 B 1.90
B 0.1142 0.3858 0.7500  1 B 1.90
B 0.8858 0.6142 0.7500  1 B 1.90
B 0.8858 0.6142 0.2500  1 B 1.90
B 0.1142 0.3858 0.2500  1 B 1.90
B 0.3858 0.8858 0.7500  1 B 1.90
B 0.6142 0.1142 0.7500  1 B 1.90
Os 0.5000 0.5000 0.2197  4 B 2.38
Os 0.0000 0.0000 0.7197  4 B 2.38
Os 0.5000 0.5000 0.7803  4 B 2.38
Os 0.0000 0.0000 0.2803  4 B 2.38

=====

Run two
Nb2B2Os: PBEsol geometry, meta-GGA SCAN.

Results
Space-group type = I4/mmm (139)
Size of the total moment = 0.00 μB per formula unit

Unit cell a=3.6559 b=3.6559 c=5.4196 alpha=109.71 beta=109.71 gamma=90.00
Last column: nearest neighbours and their distance in Å.
Sites, in units of the cell vectors:
Nb 0.2500 0.7500 0.5000  4 B 2.42, 4 Nb 2.59
Nb 0.7500 0.2500 0.5000  4 B 2.42, 4 Nb 2.59
B 0.4166 0.4166 0.8332  1 B 1.59
B 0.5834 0.5834 0.1668  1 B 1.59
Os 0.0000 0.0000 0.0000  8 B 2.70, 8 Nb 3.00

=====

Run three
Nb2B2Os: PBEsol geometry, meta-GGA SCAN.

Results
Space-group type = P4/mbm (127)
Size of the total moment = 0.00 μB per formula unit

Unit cell a=3.4819 b=5.8443 c=5.8443 alpha=90.00 beta=90.00 gamma=90.00
Last column: nearest neighbours and their distance in Å.
Sites, in units of the cell vectors:
Nb 0.5000 0.1757 0.6757  6 B 2.45-2.46
Nb 0.5000 0.6757 0.8243  6 B 2.45-2.46
Nb 0.5000 0.8243 0.3243  6 B 2.45-2.46
Nb 0.5000 0.3243 0.1757  6 B 2.45-2.46
B 0.0000 0.3849 0.8849  1 B 1.90
B 0.0000 0.8849 0.6151  1 B 1.90
B 0.0000 0.6151 0.1151  1 B 1.90
B 0.0000 0.1151 0.3849  1 B 1.90
Os 0.0000 0.0000 0.0000  4 B 2.35
Os 0.0000 0.5000 0.5000  4 B 2.35

=====

Quick one: least stable of them? run two

=====

Run one
BSO2: PBEsol geometry, meta-GGA SCAN.

Results
Space-group type = I-42d (122)
Size of the total moment = 0.00 μB per formula unit

Unit cell a=4.5318 b=4.7673 c=4.5318 alpha=61.62 beta=90.00 gamma=118.38
Last column: nearest neighbours and their distance in Å.
Sites, in units of the cell vectors:
S 0.7500 0.5000 0.7500  4 O 2.41
S 0.0000 0.0000 0.0000  4 O 2.41
B 0.2500 0.5000 0.2500  4 O 1.47
B 0.5000 0.0000 0.5000  4 O 1.47
O 0.4492 0.7500 0.3750  2 B 1.47
O 0.3008 0.7500 0.8750  2 B 1.47
O 0.8750 0.2500 0.4492  2 B 1.47
O 0.3750 0.2500 0.3008  2 B 1.47

=====

Run two
BSO2: PBEsol geometry, meta-GGA SCAN.

Results
Space-group type = Fm-3m (225)
Size of the total moment = 0.00 μB per formula unit

Unit cell a=3.6691 b=3.6691 c=3.6691 alpha=60.00 beta=60.00 gamma=60.00
Last column: nearest neighbours and their distance in Å.
Sites, in units of the cell vectors:
S 0.5000 0.5000 0.5000  8 O 2.25
B 0.0000 0.0000 0.0000  8 O 2.25
O 0.2500 0.2500 0.2500  4 B 2.25, 4 S 2.25
O 0.7500 0.7500 0.7500  4 B 2.25, 4 S 2.25

=====

Quick one: least stable of them? run two

=====

Run one
Sc2BO: PBEsol geometry, meta-GGA SCAN.

Results
Space-group type = R-3m (166)
Size of the total moment = 0.41 μB per formula unit

Unit cell a=3.1489 b=3.1489 c=7.3377 alpha=77.61 beta=77.61 gamma=60.00
Last column: nearest neighbours and their distance in Å.
Sites, in units of the cell vectors:
Sc 0.8905 0.8905 0.3285  3 O 2.19, 1 B 2.33
Sc 0.1095 0.1095 0.6715  3 O 2.19, 1 B 2.33
B 0.0000 0.0000 0.0000  2 Sc 2.33
O 0.5000 0.5000 0.5000  6 Sc 2.19

=====

Run two
Sc2BO: PBEsol geometry, meta-GGA SCAN.

Results
Space-group type = I-42d (122)
Size of the total moment = 1.00 μB per formula unit

Unit cell a=5.0489 b=5.0489 c=6.1339 alpha=114.30 beta=114.30 gamma=90.00
Last column: nearest neighbours and their distance in Å.
Sites, in units of the cell vectors:
Sc 0.3391 0.8750 0.2500  2 O 2.08, 2 B 2.29
Sc 0.9109 0.3750 0.2500  2 O 2.08, 2 B 2.29
Sc 0.1250 0.0891 0.7500  2 O 2.08, 2 B 2.29
Sc 0.6250 0.6609 0.7500  2 O 2.08, 2 B 2.29
B 0.7500 0.2500 0.5000  4 Sc 2.29
B 0.5000 0.5000 0.0000  4 Sc 2.29
O 0.2500 0.7500 0.5000  4 Sc 2.08
O 0.0000 0.0000 0.0000  4 Sc 2.08

=====

Quick one: least stable of them? run one